[1]
## KUSO2 (PBE)

Data for a relaxed structure of KUSO2.

Calculated values
- total energy (Ha/atom) = -0.2823
- calculated volume (Å³/atom) = 19.9
- E_form (uncorrected) (eV per atom) = -2.40
- ρ (g cm⁻³) = 5.7

a = 4.2851 Å, b = 4.2851 Å, c = 5.4167 Å
α = 90.00°, β = 90.00°, γ = 90.00°
With the nearest neighbours (Å) after each atom.
Sites, in units of the cell vectors:
O 0.0000 0.5000 0.9828  2 U 2.14
O 0.5000 0.0000 0.9828  2 U 2.14
K 0.5000 0.5000 0.5467  4 S 3.04, 4 O 3.19
S 0.0000 0.0000 0.4920  2 U 2.69-2.73
U 0.0000 0.0000 0.9957  4 O 2.14


[2]
## AcSbRh (PBE)

Data for a relaxed structure of AcSbRh.

Calculated values
- total energy (Ha/atom) = -0.2248
- calculated volume (Å³/atom) = 27.2
- E_form (uncorrected) (eV per atom) = -0.92
- ρ (g cm⁻³) = 9.2
- E above lowest polymorph (eV/atom) = 0.009

a = 4.4887 Å, b = 4.5776 Å, c = 4.5776 Å
α = 120.00°, β = 90.00°, γ = 90.00°
With the nearest neighbours (Å) after each atom.
Sites, in units of the cell vectors:
Rh 0.1664 0.3333 0.6667  3 Sb 2.64
Ac 0.6668 0.6667 0.3333  6 Rh 3.47, 6 Sb 3.47
Sb 0.1668 0.0000 0.0000  3 Rh 2.64


[3]
## LiSc4BiS8 (PBE)

Data for a relaxed structure of LiSc4BiS8.

Calculated values
- total energy (Ha/atom) = -0.2252
- calculated volume (Å³/atom) = 23.0
- E_form (uncorrected) (eV per atom) = -1.55
- ρ (g cm⁻³) = 3.4

a = 7.6000 Å, b = 7.6000 Å, c = 7.7979 Å
α = 60.84°, β = 60.84°, γ = 60.00°
With the nearest neighbours (Å) after each atom.
Sites, in units of the cell vectors:
S 0.2553 0.7668 0.7227  1 Li 2.49, 2 Sc 2.56, 1 Bi 2.70
S 0.2553 0.2553 0.7227  1 Li 2.49, 2 Sc 2.56, 1 Bi 2.70
S 0.7668 0.2553 0.7227  1 Li 2.49, 2 Sc 2.56, 1 Bi 2.70
S 0.7448 0.7448 0.2759  3 Sc 2.46-2.66
S 0.2397 0.2397 0.2810  1 Li 2.51, 3 Sc 2.56
S 0.7581 0.7581 0.7256  4 Sc 2.53-2.69
S 0.2346 0.7448 0.2759  3 Sc 2.46-2.66
S 0.7448 0.2346 0.2759  3 Sc 2.46-2.66
Sc 0.6272 0.6272 0.1185  4 S 2.46-2.53
Sc 0.0048 0.0048 0.5036  6 S 2.56-2.69
Sc 0.0048 0.4868 0.5036  6 S 2.56-2.69
Sc 0.4868 0.0048 0.5036  6 S 2.56-2.69
Li 0.3697 0.3697 0.8908  4 S 2.49-2.51
Bi 0.0074 0.0074 0.9779  6 S 2.70-2.88


[4]
## PmSm3H (PBE)

Data for a relaxed structure of PmSm3H.

Calculated values
- total energy (Ha/atom) = -0.1700
- calculated volume (Å³/atom) = 26.7
- ρ (g cm⁻³) = 7.4

a = 5.1122 Å, b = 5.1122 Å, c = 5.1122 Å
α = 90.00°, β = 90.00°, γ = 90.00°
With the nearest neighbours (Å) after each atom.
Sites, in units of the cell vectors:
Pm 0.5000 0.5000 0.5000  12 Sm 3.61
H 0.0000 0.0000 0.0000  6 Sm 2.56
Sm 0.0000 0.0000 0.5000  2 H 2.56
Sm 0.0000 0.5000 0.0000  2 H 2.56
Sm 0.5000 0.0000 0.0000  2 H 2.56